(1)
Computed, not measured: an optimized crystal structure of Pr2TmPb at the PBE level of DFT.

a b c (Å): 7.948 7.948 7.948
angles (deg): 90.00 90.00 90.00
Space group Fm-3m (No. 225)
Symmetry-distinct sites (fractional):
Pr  0.250  0.250  0.250 [8 per cell]
Tm  0.000  0.000  0.000 [4 per cell]
Pb  0.000  0.000  0.500 [4 per cell]

Its magnetization is 0.000 μB/f.u. As for the formation energy: -0.15 eV/atom. As for the total DFT energy (no corrections): -4.5881 eV per atom.



(2)
Computed, not measured: an optimized crystal structure of PrTm7Pb4 at the PBE level of DFT.

a b c (Å): 12.813 5.689 11.484
angles (deg): 90.00 119.91 90.00
Space group C2/m (No. 12)
Symmetry-distinct sites (fractional):
Pr  0.000  0.000  0.000 [2 per cell]
Tm  0.000  0.500  0.000 [2 per cell]
Tm  0.038  0.000  0.377 [4 per cell]
Tm  0.155  0.500  0.568 [4 per cell]
Tm  0.216  0.000  0.898 [4 per cell]
Pb  0.093  0.500  0.790 [4 per cell]
Pb  0.208  0.500  0.322 [4 per cell]

Its magnetization is 0.001 μB/f.u. As for the formation energy: -0.04 eV/atom. As for the total DFT energy (no corrections): -4.2863 eV per atom.



(3)
Computed, not measured: an optimized crystal structure of Pr4TmPb5 at the PBE level of DFT.

a b c (Å): 3.603 3.603 23.126
angles (deg): 90.00 90.00 90.00
Space group P4/mmm (No. 123)
Symmetry-distinct sites (fractional):
Pr  0.000  0.000  0.102 [2 per cell]
Pr  0.000  0.000  0.304 [2 per cell]
Tm  0.000  0.000  0.500 [1 per cell]
Pb  0.500  0.500  0.000 [1 per cell]
Pb  0.500  0.500  0.203 [2 per cell]
Pb  0.500  0.500  0.407 [2 per cell]

Its magnetization is 0.000 μB/f.u. As for the formation energy: -0.49 eV/atom. As for the total DFT energy (no corrections): -4.7053 eV per atom.



(4)
Computed, not measured: an optimized crystal structure of PrTm12Pb7 at the PBE level of DFT.

a b c (Å): 15.3043 15.3043 8.9344
angles (deg): 90.00 90.00 120.00
Space group R-3m (No. 166, hexagonal axes)
Symmetry-distinct sites (fractional):
Pr  0.0000  0.0000  0.0000 [3 per cell]
Tm  0.0000  0.2786  0.0000 [18 per cell]
Tm  0.1107  0.2213  0.3899 [18 per cell]
Pb  0.0000  0.0000  0.5000 [3 per cell]
Pb  0.1032  0.2064  0.7643 [18 per cell]

Its magnetization is 0.000 μB/f.u. As for the formation energy: -0.24 eV/atom. As for the total DFT energy (no corrections): -4.4619 eV per atom.



(5)
Computed, not measured: an optimized crystal structure of PrTm4Pb5 at the PBE level of DFT.

a b c (Å): 9.943 9.943 6.295
angles (deg): 90.00 90.00 90.00
Space group I4/m (No. 87)
Symmetry-distinct sites (fractional):
Pr  0.000  0.000  0.000 [2 per cell]
Tm  0.106  0.704  0.500 [8 per cell]
Pb  0.000  0.000  0.500 [2 per cell]
Pb  0.098  0.690  0.000 [8 per cell]

Its magnetization is 0.000 μB/f.u. As for the formation energy: -0.28 eV/atom. As for the total DFT energy (no corrections): -4.4053 eV per atom.



(6)
Computed, not measured: an optimized crystal structure of Pr5TmPb6 at the PBE level of DFT.

a b c (Å): 6.037 14.778 8.802
angles (deg): 90.00 102.31 90.00
Space group C2/m (No. 12)
Symmetry-distinct sites (fractional):
Pr  0.000  0.000  0.000 [2 per cell]
Pr  0.000  0.327  0.000 [4 per cell]
Pr  0.000  0.340  0.500 [4 per cell]
Tm  0.000  0.000  0.500 [2 per cell]
Pb  0.006  0.163  0.742 [8 per cell]
Pb  0.033  0.500  0.244 [4 per cell]

Its magnetization is 0.000 μB/f.u. As for the formation energy: -0.48 eV/atom. As for the total DFT energy (no corrections): -4.6996 eV per atom.



(7)
Computed, not measured: an optimized crystal structure of Pr3TmPb4 at the PBE level of DFT.

a b c (Å): 3.742 7.363 18.878
angles (deg): 90.00 90.00 90.00
Space group Immm (No. 71)
Symmetry-distinct sites (fractional):
Pr  0.000  0.000  0.000 [2 per cell]
Pr  0.000  0.500  0.221 [4 per cell]
Tm  0.000  0.000  0.500 [2 per cell]
Pb  0.000  0.277  0.375 [8 per cell]

Its magnetization is 0.000 μB/f.u. As for the formation energy: -0.38 eV/atom. As for the total DFT energy (no corrections): -4.5835 eV per atom.



(8)
Computed, not measured: an optimized crystal structure of PrTmZnPb at the PBE level of DFT.

a b c (Å): 7.519 7.519 7.519
angles (deg): 90.00 90.00 90.00
Space group F-43m (No. 216)
Symmetry-distinct sites (fractional):
Pr  0.000  0.000  0.000 [4 per cell]
Tm  0.000  0.000  0.500 [4 per cell]
Zn  0.250  0.250  0.250 [4 per cell]
Pb  0.250  0.250  0.750 [4 per cell]

Its magnetization is 0.000 μB/f.u. As for the formation energy: -0.36 eV/atom. As for the total DFT energy (no corrections): -3.9151 eV per atom.



(9)
Computed, not measured: an optimized crystal structure of Pr2UPb at the PBE level of DFT.

a b c (Å): 3.3396 3.3396 37.1619
angles (deg): 90.00 90.00 120.00
Space group R-3m (No. 166, hexagonal axes)
Symmetry-distinct sites (fractional):
Pr  0.0000  0.0000  0.0889 [6 per cell]
U  0.0000  0.0000  0.0000 [3 per cell]
Pb  0.0000  0.0000  0.5000 [3 per cell]

Its magnetization is 2.145 μB/f.u. As for the formation energy: 0.36 eV/atom. As for the total DFT energy (no corrections): -5.7805 eV per atom.



(10)
Computed, not measured: an optimized crystal structure of Pr2VPb at the PBE level of DFT.

a b c (Å): 3.4250 3.4250 34.5899
angles (deg): 90.00 90.00 120.00
Space group R-3m (No. 166, hexagonal axes)
Symmetry-distinct sites (fractional):
Pr  0.0000  0.0000  0.0839 [6 per cell]
V  0.0000  0.0000  0.0000 [3 per cell]
Pb  0.0000  0.0000  0.5000 [3 per cell]

Its magnetization is 3.286 μB/f.u. As for the formation energy: 0.49 eV/atom. As for the total DFT energy (no corrections): -5.1055 eV per atom.



(11)
Computed, not measured: an optimized crystal structure of Pr2YPb at the PBE level of DFT.

a b c (Å): 4.936 4.936 5.088
angles (deg): 90.00 90.00 90.00
Space group P4/mmm (No. 123)
Symmetry-distinct sites (fractional):
Pr  0.000  0.500  0.000 [2 per cell]
Y  0.000  0.000  0.500 [1 per cell]
Pb  0.500  0.500  0.500 [1 per cell]

Its magnetization is 0.000 μB/f.u. As for the formation energy: -0.33 eV/atom. As for the total DFT energy (no corrections): -5.2579 eV per atom.



(12)
Computed, not measured: an optimized crystal structure of Pr8Y2Pb at the PBE level of DFT.

a b c (Å): 18.695 5.076 8.230
angles (deg): 90.00 105.46 90.00
Space group C2/m (No. 12)
Symmetry-distinct sites (fractional):
Pr  0.044  0.000  0.231 [4 per cell]
Pr  0.090  0.500  0.942 [4 per cell]
Pr  0.138  0.000  0.680 [4 per cell]
Pr  0.177  0.500  0.407 [4 per cell]
Y  0.224  0.000  0.132 [4 per cell]
Pb  0.000  0.500  0.500 [2 per cell]

Its magnetization is 0.000 μB/f.u. As for the formation energy: -0.08 eV/atom. As for the total DFT energy (no corrections): -5.0728 eV per atom.